Record 1
Here is a relaxed structure of Er6In2N from the Alexandria database. Energies are from PBE.

Output
The calculation puts the density of states at the Fermi level at 7.23 states/eV/f.u. The value obtained for the uncorrected formation energy is -0.639 eV per atom. As for the total energy: -46.93 eV per cell. The symmetry is Fm-3m (225). The value obtained for the energy above the most stable polymorph in this dataset is 0 meV/atom. The value obtained for the volume is 222 Å³/cell. The value obtained for the total magnetization is 0.000 μB/atom. Its crystal system is cubic.

a b c (Å): 6.7935 6.7935 6.7931
angles (deg): 60.00 60.00 60.00
Atoms (fractional coordinates):
Er (0.2551, 0.7446, 0.7449)
Er (0.7447, 0.7447, 0.2555)
Er (0.2554, 0.7449, 0.2551)
Er (0.7449, 0.2554, 0.2551)
Er (0.2553, 0.2553, 0.7445)
Er (0.7446, 0.2551, 0.7449)
In (0.7500, 0.7500, 0.7500)
In (0.2500, 0.2500, 0.2500)
N (0.5000, 0.5000, 0.5000)

Record 2
Here is a relaxed structure of NdEr2InN from the Alexandria database. Energies are from PBE.

Output
The calculation puts the density of states at the Fermi level at 2.36 states/eV/f.u. The value obtained for the uncorrected formation energy is -0.947 eV per atom. As for the total energy: -29.69 eV per cell. The symmetry is P4/mmm (123). The value obtained for the volume is 115 Å³/cell. The value obtained for the total magnetization is 0.000 μB/atom. Its crystal system is tetragonal.

a b c (Å): 5.0195 4.7861 4.7861
angles (deg): 90.00 90.00 90.00
Atoms (fractional coordinates):
Er (0.0000, 0.0000, 0.5000)
Er (0.0000, 0.5000, 0.0000)
Nd (0.5000, 0.0000, 0.0000)
N (0.0000, 0.0000, 0.0000)
In (0.5000, 0.5000, 0.5000)

Record 3
Here is a relaxed structure of ErPa2InN5 from the Alexandria database. Energies are from PBE.

Output
The calculation puts the density of states at the Fermi level at 3.89 states/eV/f.u. The value obtained for the uncorrected formation energy is -1.129 eV per atom. As for the total energy: -156.17 eV per cell. The symmetry is Cmc2_1 (36). The value obtained for the volume is 277 Å³/cell. The value obtained for the total magnetization is 0.033 μB/atom. Its crystal system is orthorhombic.

a b c (Å): 3.5049 7.2289 11.2692
angles (deg): 90.00 90.00 104.03
Last column: magnetic moment on the atom in μB.
Atoms (fractional coordinates):
N (0.9249, 0.8498, 0.5447)  0.00
N (0.6259, 0.2517, 0.5897)  -0.01
N (0.2850, 0.5700, 0.6435)  -0.01
N (0.0751, 0.1502, 0.0447)  0.00
N (0.7150, 0.4300, 0.1435)  -0.01
N (0.4684, 0.9368, 0.7927)  -0.01
N (0.2779, 0.5558, 0.3354)  -0.01
N (0.7221, 0.4442, 0.8354)  -0.01
N (0.3741, 0.7483, 0.0897)  -0.01
N (0.5316, 0.0632, 0.2927)  -0.01
Er (0.7655, 0.5311, 0.4863)  0.02
Er (0.2345, 0.4689, 0.9863)  0.02
In (0.4958, 0.9916, 0.4821)  0.00
In (0.5042, 0.0084, 0.9821)  0.00
Pa (0.8590, 0.7180, 0.2143)  0.19
Pa (0.8718, 0.7437, 0.7353)  0.07
Pa (0.1410, 0.2820, 0.7143)  0.19
Pa (0.1282, 0.2563, 0.2353)  0.07